Entry 1:
TbDyZn4: relaxed, PBE.

Calculated values
Energy = -16.36 eV for the cell shown
Calculated volume = 115.4 Å³ per cell
Distance to the lowest polymorph of the same formula = 38 meV per atom
E_form = -0.338 eV/atom
Density = 8.39 g/cm3
Crystal system = cubic

Lattice parameters (Å, degrees): 5.4642 5.4642 5.4642 60.00 60.00 60.00
Last column: nearest neighbours and their distance in Å.
Positions (direct):
Tb 0.2500 0.2500 0.2500  12 Zn 3.20, 4 Dy 3.35
Zn 0.6250 0.1249 0.6250  6 Zn 2.73
Zn 0.6250 0.6250 0.6250  6 Zn 2.73
Dy 0.0000 0.0000 0.0000  12 Zn 3.20, 4 Tb 3.35
Zn 0.6250 0.6250 0.1249  6 Zn 2.73
Zn 0.1249 0.6250 0.6250  6 Zn 2.73


Entry 2:
Tb2DyZn: relaxed, PBE.

Calculated values
Energy = -15.78 eV for the cell shown
Calculated volume = 109.8 Å³ per cell
Distance to the lowest polymorph of the same formula = 0 meV per atom
E_form = -0.160 eV/atom
Density = 8.26 g/cm3
Crystal system = tetragonal

Lattice parameters (Å, degrees): 3.5733 3.5733 8.5960 90.00 90.00 90.00
Last column: nearest neighbours and their distance in Å.
Positions (direct):
Tb 0.0000 0.0000 0.7916  4 Zn 3.10
Zn 0.5000 0.5000 0.0000  8 Tb 3.10
Tb 0.0000 0.0000 0.2084  4 Zn 3.10
Dy 0.5000 0.5000 0.5000  8 Tb 3.56, 4 Dy 3.57


Entry 3:
Tb2DyZn: relaxed, PBE.

Calculated values
Energy = -15.36 eV for the cell shown
Calculated volume = 114.0 Å³ per cell
Distance to the lowest polymorph of the same formula = 103 meV per atom
E_form = -0.056 eV/atom
Density = 7.95 g/cm3
Crystal system = trigonal

Lattice parameters (Å, degrees): 3.5660 3.5660 10.5564 80.28 80.28 60.00
Last column: nearest neighbours and their distance in Å.
Positions (direct):
Tb 0.2604 0.2604 0.2188  3 Zn 3.06
Zn 0.0000 0.0000 0.0000  6 Tb 3.06
Dy 0.5000 0.5000 0.5000  6 Tb 3.57, 6 Dy 3.57
Tb 0.7396 0.7396 0.7812  3 Zn 3.06


Entry 4:
Tb2DyZn3: relaxed, PBE.

Calculated values
Energy = -19.71 eV for the cell shown
Calculated volume = 137.5 Å³ per cell
E_form = -0.338 eV/atom
Density = 8.17 g/cm3
Crystal system = trigonal

Lattice parameters (Å, degrees): 5.0626 5.0626 6.1937 90.00 90.00 120.00
Last column: nearest neighbours and their distance in Å.
Positions (direct):
Zn 0.3333 0.6667 0.1669  5 Tb 3.09-3.10, 3 Dy 3.10
Zn 0.0000 0.0000 0.5000  2 Dy 3.10, 6 Tb 3.10
Tb 0.3333 0.6667 0.6679  8 Zn 3.09-3.10
Tb 0.6667 0.3333 0.3321  8 Zn 3.09-3.10
Dy 0.0000 0.0000 0.0000  8 Zn 3.10
Zn 0.6667 0.3333 0.8331  5 Tb 3.09-3.10, 3 Dy 3.10


Entry 5:
TbDyZn4: relaxed, PBE.

Calculated values
Energy = -14.23 eV for the cell shown
Calculated volume = 138.8 Å³ per cell
Distance to the lowest polymorph of the same formula = 392 meV per atom
E_form = 0.016 eV/atom
Density = 6.98 g/cm3
Crystal system = triclinic

Lattice parameters (Å, degrees): 3.7435 3.8081 9.7333 89.80 89.90 89.99
Last column: nearest neighbours and their distance in Å.
Positions (direct):
Zn 0.0014 0.4969 0.7461  4 Zn 2.67
Dy 0.0015 0.9974 0.4982  8 Zn 3.07-3.08
Zn 0.5010 0.9978 0.7485  4 Zn 2.67
Zn 0.5016 0.9967 0.2477  4 Zn 2.67
Tb 0.5013 0.4972 0.9982  8 Zn 3.08-3.09
Zn 0.0010 0.4978 0.2502  4 Zn 2.67


Entry 6:
Tb2DyZn4: relaxed, PBE.

Calculated values
Energy = -20.08 eV for the cell shown
Calculated volume = 165.8 Å³ per cell
E_form = -0.160 eV/atom
Density = 7.43 g/cm3
Crystal system = tetragonal

Lattice parameters (Å, degrees): 5.1506 5.1506 7.2328 110.86 110.86 90.00
Last column: nearest neighbours and their distance in Å.
Positions (direct):
Tb 0.7238 0.7238 0.4475  4 Zn 2.95
Dy 0.0000 0.0000 0.0000  8 Zn 2.92
Tb 0.2762 0.2762 0.5525  4 Zn 2.95
Zn 0.6093 0.1093 0.2187  1 Zn 2.73, 2 Dy 2.92, 2 Tb 2.95
Zn 0.8907 0.3907 0.7813  1 Zn 2.73, 2 Dy 2.92, 2 Tb 2.95
Zn 0.1093 0.6093 0.2187  1 Zn 2.73, 2 Dy 2.92, 2 Tb 2.95
Zn 0.3907 0.8907 0.7813  1 Zn 2.73, 2 Dy 2.92, 2 Tb 2.95